1.
VASP calculation (PBE-GGA) on a geometry-optimized PrBi2Rh structure.

abc: 4.6093 11.8439 7.6943
angles: 90.00 90.00 90.00
With the nearest neighbours (Å) after each atom.
Space group Cmcm (No. 63)
Asymmetric unit:
Pr: 0.0000 0.0805 0.2500  1 Rh 2.92, 4 Bi 3.26
Bi: 0.0000 0.3612 0.0357  3 Rh 2.85-3.19
Rh: 0.0000 0.1664 0.7500  6 Bi 2.85-3.19, 1 Pr 2.92

## Properties
Formation enthalpy at 0 K (eV/atom): -0.50

---

2.
VASP calculation (PBE-GGA) on a geometry-optimized Pr3BiRh3 structure.

abc: 8.9193 8.9193 5.7243
angles: 90.00 90.00 120.00
With the nearest neighbours (Å) after each atom.
Space group P6_3/m (No. 176)
Asymmetric unit:
Pr: 0.0422 0.7030 0.2500  5 Rh 2.87-3.07
Bi: 0.3333 0.6667 0.7500  3 Rh 2.68
Rh: 0.0368 0.6734 0.7500  1 Bi 2.68, 3 Pr 2.87-2.92

## Properties
Formation enthalpy at 0 K (eV/atom): -0.36

---

3.
VASP calculation (PBE-GGA) on a geometry-optimized Pr3BiRh structure.

abc: 5.5241 5.5241 5.5241
angles: 90.00 90.00 90.00
With the nearest neighbours (Å) after each atom.
Space group Pm-3m (No. 221)
Asymmetric unit:
Pr: 0.0000 0.0000 0.5000  2 Rh 2.76
Bi: 0.5000 0.5000 0.5000  12 Pr 3.91
Rh: 0.0000 0.0000 0.0000  6 Pr 2.76

## Properties
Polymorph energy (0 for the lowest one) (meV/atom): 182
Formation enthalpy at 0 K (eV/atom): -0.46

---

4.
VASP calculation (PBE-GGA) on a geometry-optimized PrBiRh structure.

abc: 10.0328 6.7462 5.7284
angles: 90.00 124.69 90.00
With the nearest neighbours (Å) after each atom.
Space group C2/c (No. 15)
Asymmetric unit:
Pr: 0.2500 0.2500 0.0000  4 Rh 3.02-3.03
Bi: 0.0000 0.1580 0.2500  2 Rh 2.72
Rh: 0.0000 0.5000 0.0000  2 Bi 2.72, 2 Rh 2.86, 4 Pr 3.02-3.03

## Properties
Formation enthalpy at 0 K (eV/atom): -0.58

---

5.
VASP calculation (PBE-GGA) on a geometry-optimized PrBiRh structure.

abc: 4.7554 4.7554 3.8241
angles: 90.00 90.00 120.00
With the nearest neighbours (Å) after each atom.
Space group P-6m2 (No. 187)
Asymmetric unit:
Pr: 0.0000 0.0000 0.0000  6 Bi 3.35, 6 Rh 3.35
Bi: 0.3333 0.6667 0.5000  3 Rh 2.75
Rh: 0.6667 0.3333 0.5000  3 Bi 2.75

## Properties
Formation enthalpy at 0 K (eV/atom): -0.64

---

6.
VASP calculation (PBE-GGA) on a geometry-optimized PrBi3Rh2 structure.

abc: 8.1104 8.1104 5.6783
angles: 90.00 90.00 120.00
With the nearest neighbours (Å) after each atom.
Space group P-3m1 (No. 164)
Asymmetric unit:
Pr: 0.3333 0.6667 0.2743  3 Rh 2.81
Bi: 0.1656 0.3312 0.7416  3 Rh 2.75-2.77
Rh: 0.0000 0.0000 0.0000  6 Bi 2.75
Rh: 0.0000 0.5000 0.0000  4 Bi 2.77, 2 Pr 2.81

## Properties
Formation enthalpy at 0 K (eV/atom): -0.31

---

7.
VASP calculation (PBE-GGA) on a geometry-optimized Pr2Bi2Rh3 structure.

abc: 12.2972 3.9122 7.5264
angles: 90.00 115.28 90.00
With the nearest neighbours (Å) after each atom.
Space group C2/m (No. 12)
Asymmetric unit:
Pr: 0.1060 0.0000 0.2659  6 Rh 2.96-3.25
Bi: 0.1701 0.0000 0.7489  5 Rh 2.77-2.91
Rh: 0.0000 0.5000 0.5000  4 Bi 2.89, 2 Rh 2.91
Rh: 0.0907 0.5000 0.9261  3 Bi 2.77-2.91, 2 Rh 2.89-2.91, 2 Pr 2.96

## Properties
Polymorph energy (0 for the lowest one) (meV/atom): 59
Formation enthalpy at 0 K (eV/atom): -0.55

---

8.
VASP calculation (PBE-GGA) on a geometry-optimized Pr5Bi5Rh structure.

abc: 13.8328 6.4251 10.0820
angles: 90.00 119.81 90.00
With the nearest neighbours (Å) after each atom.
Space group C2/m (No. 12)
Asymmetric unit:
Pr: 0.0000 0.0000 0.0000  2 Rh 3.21, 4 Bi 3.25-3.28
Pr: 0.1479 0.5000 0.8766  1 Rh 2.87
Pr: 0.1896 0.5000 0.3005  1 Rh 2.86
Bi: 0.0000 0.5000 0.5000  2 Bi 3.28, 2 Pr 3.30
Bi: 0.1107 0.0000 0.7814  5 Pr 3.25-3.40
Bi: 0.2270 0.0000 0.3361  5 Pr 3.25-3.36, 1 Bi 3.28
Rh: 0.0000 0.5000 0.0000  4 Pr 2.86-2.87

## Properties
Formation enthalpy at 0 K (eV/atom): -0.55